VASP calculation (PBE) on a geometry-optimized KCdI2 structure.

Cell and atoms, written as POSCAR:
```
KCdI2
1.0
5.215 0.000 0.000
2.607 4.516 0.000
2.607 1.505 9.694
Cd I K
1 2 1
Cartesian
0.000 0.000 0.000 Cd
2.607 1.505 6.740 I
7.822 4.516 2.954 I
5.215 3.011 4.847 K
```

Results
Symmetry: No. 166
Distance to the lowest polymorph of the same formula, meV per atom: 95


VASP calculation (PBE) on a geometry-optimized RbBaAl3 structure.

Cell and atoms, written as POSCAR:
```
RbBaAl3
1.0
-2.923 -3.162 4.024
-3.196 -2.491 -4.279
3.996 -4.304 -0.480
Rb Al Ba
1 3 1
Cartesian
0.000 0.000 0.000 Rb
-1.461 -1.581 2.012 Al
-1.598 -1.245 -2.139 Al
1.998 -2.152 -0.240 Al
-1.061 -4.978 -0.368 Ba
```

Results
E_form, eV/atom: 1.05
Symmetry: No. 221
Distance to the lowest polymorph of the same formula, meV per atom: 66


VASP calculation (PBE) on a geometry-optimized Zr7Sb4 structure.

Cell and atoms, written as POSCAR:
```
Zr7Sb4
1.0
11.246 0.000 0.000
0.000 8.551 0.005
0.000 4.151 10.393
Zr Sb
28 16
Cartesian
2.942 6.978 10.196 Zr
10.363 1.299 3.011 Zr
6.304 6.569 3.542 Zr
3.310 12.296 9.670 Zr
0.681 4.058 1.659 Zr
4.941 6.133 6.856 Zr
7.936 0.406 0.728 Zr
3.108 6.243 1.791 Zr
2.681 4.903 4.999 Zr
4.959 9.022 8.997 Zr
11.244 5.657 9.813 Zr
6.286 3.679 1.401 Zr
6.506 3.375 8.208 Zr
0.883 11.403 7.387 Zr
5.625 3.581 4.616 Zr
2.313 10.220 4.473 Zr
2.515 8.318 6.987 Zr
8.304 5.724 0.202 Zr
8.731 4.384 3.411 Zr
5.621 9.121 5.782 Zr
10.582 5.755 6.597 Zr
8.565 7.799 5.399 Zr
8.933 2.482 5.925 Zr
4.740 9.327 2.190 Zr
10.564 8.644 8.739 Zr
8.138 6.459 8.607 Zr
0.663 6.947 3.801 Zr
0.002 7.045 0.585 Zr
3.894 11.201 6.879 Sb
9.188 7.155 2.632 Sb
9.517 3.576 8.715 Sb
3.642 7.565 4.380 Sb
1.980 9.640 9.576 Sb
5.707 6.871 0.646 Sb
7.680 9.230 7.829 Sb
0.084 3.756 4.556 Sb
3.566 3.472 2.569 Sb
7.603 5.137 6.018 Sb
1.729 9.125 1.683 Sb
2.057 5.547 7.765 Sb
5.539 5.831 9.752 Sb
7.352 1.501 3.519 Sb
9.265 3.062 0.822 Sb
11.162 8.946 5.842 Sb
```

Results
Symmetry: No. 14
VASP energy, eV/atom: -7.612


Number 1: N(E_F) 4.03 states/eV per cell. Number 2: N(E_F) 8.68 states/eV per cell. Number 3: N(E_F) 31.97 states/eV per cell.